A relaxed structure of Cu3TeIr. Source: the Alexandria database, functional PBE-GGA.

Values from the calculation:
Formation energy from raw total energies ... 462 kJ/mol of formula units
DOS at the Fermi energy ... 5.83 states/eV/f.u.

Cell: 4.6834 4.6834 4.6834 Å, 90.00 90.00 90.00°
Space group Pm-3m (No. 221)
Asymmetric unit:
Cu 0.0000 0.0000 0.5000 (multiplicity 3)
Te 0.5000 0.5000 0.5000 (multiplicity 1)
Ir 0.0000 0.0000 0.0000 (multiplicity 1)


A relaxed structure of MgTe2MoW. Source: the Alexandria database, functional PBE-GGA.

Values from the calculation:
Formation energy from raw total energies ... 979 kJ/mol of formula units
DOS at the Fermi energy ... 6.38 states/eV/f.u.

Cell: 5.0509 5.0509 4.7112 Å, 90.00 90.00 90.00°
Space group P4/mmm (No. 123)
Asymmetric unit:
Mg 0.0000 0.0000 0.0000 (multiplicity 1)
Te 0.0000 0.5000 0.0000 (multiplicity 2)
Mo 0.0000 0.0000 0.5000 (multiplicity 1)
W 0.5000 0.5000 0.5000 (multiplicity 1)


A relaxed structure of P6Pb10O25. Source: the Alexandria database, functional PBE-GGA.

Values from the calculation:
Formation energy from raw total energies ... -7380 kJ/mol of formula units
DOS at the Fermi energy ... 0.00 states/eV/f.u.

Cell: 10.0289 10.0289 7.4902 Å, 90.00 90.00 120.00°
Space group P3 (No. 143)
Asymmetric unit:
P 0.0291 0.4053 0.0000 (multiplicity 3)
P 0.3952 0.3670 0.4996 (multiplicity 3)
Pb 0.0038 0.7750 0.9975 (multiplicity 3)
Pb 0.2643 0.0052 0.4987 (multiplicity 3)
Pb 0.3333 0.6667 0.2460 (multiplicity 1)
Pb 0.3333 0.6667 0.7552 (multiplicity 1)
Pb 0.6667 0.3333 0.2386 (multiplicity 1)
Pb 0.6667 0.3333 0.7586 (multiplicity 1)
O 0.0000 0.0000 0.9909 (multiplicity 1)
O 0.0715 0.3412 0.1675 (multiplicity 3)
O 0.0738 0.3447 0.8311 (multiplicity 3)
O 0.1300 0.5852 0.0022 (multiplicity 3)
O 0.1492 0.6804 0.5006 (multiplicity 3)
O 0.3483 0.2589 0.3336 (multiplicity 3)
O 0.3519 0.2608 0.6672 (multiplicity 3)
O 0.4997 0.1451 0.9989 (multiplicity 3)
O 0.5276 0.1042 0.4971 (multiplicity 3)


A relaxed structure of YPd2CI. Source: the Alexandria database, functional PBE-GGA.

Values from the calculation:
Formation energy from raw total energies ... 695 kJ/mol of formula units
DOS at the Fermi energy ... 3.92 states/eV/f.u.

Cell: 4.8626 4.8626 5.8418 Å, 90.00 90.00 90.00°
Space group P4/mmm (No. 123)
Asymmetric unit:
Y 0.0000 0.0000 0.0000 (multiplicity 1)
Pd 0.0000 0.5000 0.5000 (multiplicity 2)
C 0.5000 0.5000 0.0000 (multiplicity 1)
I 0.0000 0.0000 0.5000 (multiplicity 1)


A relaxed structure of Sm2ErNi2. Source: the Alexandria database, functional PBE-GGA.

Values from the calculation:
Formation energy ... -0.2830 eV/atom
DOS at the Fermi energy ... 4.55 states/eV/f.u.

Cell: 7.6012 7.6012 3.9077 Å, 90.00 90.00 90.00°
Space group P4/mbm (No. 127)
Asymmetric unit:
Sm 0.1674 0.3326 0.0000 (multiplicity 4)
Er 0.0000 0.0000 0.5000 (multiplicity 2)
Ni 0.1220 0.6220 0.5000 (multiplicity 4)


A relaxed structure of Pm4PrY3S8. Source: the Alexandria database, functional PBE-GGA.

Values from the calculation:
Formation energy from raw total energies ... -3105 kJ/mol of formula units
DOS at the Fermi energy ... 8.81 states/eV/f.u.

Cell: 7.9956 7.9956 19.6470 Å, 90.00 90.00 120.00°
Space group R-3m (No. 166, hexagonal axes)
Asymmetric unit:
Pm 0.0000 0.0000 0.0000 (multiplicity 3)
Pm 0.0000 0.5000 0.0000 (multiplicity 9)
Pr 0.0000 0.0000 0.5000 (multiplicity 3)
Y 0.0000 0.5000 0.5000 (multiplicity 9)
S 0.0000 0.0000 0.2461 (multiplicity 6)
S 0.0082 0.5041 0.7520 (multiplicity 18)


A relaxed structure of Rb3Y3BiTe8. Source: the Alexandria database, functional PBE-GGA.

Values from the calculation:
Formation energy from raw total energies ... -1623 kJ/mol of formula units
DOS at the Fermi energy ... 9.68 states/eV/f.u.

Cell: 15.4558 8.8883 10.1932 Å, 90.00 120.50 90.00°
Space group C2/m (No. 12)
Asymmetric unit:
Rb 0.0000 0.0000 0.0000 (multiplicity 2)
Rb 0.2500 0.2500 0.0000 (multiplicity 4)
Y 0.0000 0.5000 0.5000 (multiplicity 2)
Y 0.2500 0.2500 0.5000 (multiplicity 4)
Bi 0.0000 0.0000 0.5000 (multiplicity 2)
Te 0.0185 0.2567 0.2992 (multiplicity 8)
Te 0.2336 0.5000 0.7007 (multiplicity 4)
Te 0.2382 0.0000 0.7010 (multiplicity 4)


A relaxed structure of Ba2Sn5Au3. Source: the Alexandria database, functional PBE-GGA.

Values from the calculation:
Formation energy ... -0.5631 eV/atom
DOS at the Fermi energy ... 4.50 states/eV/f.u.

Cell: 13.4156 14.0477 6.9934 Å, 90.00 121.10 90.00°
Space group C2/c (No. 15)
Asymmetric unit:
Ba 0.2453 0.1251 0.2475 (multiplicity 8)
Sn 0.0000 0.2539 0.2500 (multiplicity 4)
Sn 0.0000 0.2599 0.7500 (multiplicity 4)
Sn 0.0000 0.4992 0.7500 (multiplicity 4)
Sn 0.1312 0.1157 0.6393 (multiplicity 8)
Au 0.0000 0.0055 0.2500 (multiplicity 4)
Au 0.1302 0.3766 0.1342 (multiplicity 8)


A relaxed structure of BeSiTe. Source: the Alexandria database, functional PBE-GGA.

Values from the calculation:
Formation energy from raw total energies ... -6 kJ/mol of formula units
DOS at the Fermi energy ... 0.40 states/eV/f.u.

Cell: 6.7955 3.9614 9.8385 Å, 90.00 93.86 90.00°
Space group C2/m (No. 12)
Asymmetric unit:
Be 0.0336 0.0000 0.2392 (multiplicity 4)
Si 0.1718 0.0000 0.0358 (multiplicity 4)
Te 0.1191 0.5000 0.6751 (multiplicity 4)


A relaxed structure of Sm4GeTe2Au. Source: the Alexandria database, functional PBE-GGA.

Values from the calculation:
Formation energy from raw total energies ... -866 kJ/mol of formula units
DOS at the Fermi energy ... 5.17 states/eV/f.u.

Cell: 7.4724 4.3165 7.6994 Å, 90.00 108.61 90.00°
Space group P2/m (No. 10)
Asymmetric unit:
Sm 0.2348 0.0000 0.2276 (multiplicity 2)
Sm 0.2492 0.5000 0.7676 (multiplicity 2)
Ge 0.0000 0.5000 0.0000 (multiplicity 1)
Te 0.0000 0.0000 0.5000 (multiplicity 1)
Te 0.5000 0.5000 0.5000 (multiplicity 1)
Au 0.5000 0.0000 0.0000 (multiplicity 1)


A relaxed structure of NbBiIO2. Source: the Alexandria database, functional PBE-GGA.

Values from the calculation:
Formation energy from raw total energies ... 150 kJ/mol of formula units
DOS at the Fermi energy ... 4.03 states/eV/f.u.

Cell: 4.3272 4.3272 6.5057 Å, 90.00 90.00 90.00°
Space group P4/mmm (No. 123)
Asymmetric unit:
Nb 0.0000 0.0000 0.0000 (multiplicity 1)
Bi 0.5000 0.5000 0.5000 (multiplicity 1)
I 0.5000 0.5000 0.0000 (multiplicity 1)
O 0.0000 0.5000 0.5000 (multiplicity 2)


A relaxed structure of CeTm3Ru2. Source: the Alexandria database, functional PBE-GGA.

Values from the calculation:
Formation energy ... -0.3824 eV/atom
DOS at the Fermi energy ... 6.57 states/eV/f.u.

Cell: 9.2796 9.8270 6.2085 Å, 90.00 90.00 90.00°
Space group Cmcm (No. 63)
Asymmetric unit:
Ce 0.0000 0.0703 0.2500 (multiplicity 4)
Tm 0.0000 0.4377 0.2500 (multiplicity 4)
Tm 0.1805 0.2533 0.7500 (multiplicity 8)
Ru 0.2326 0.0000 0.0000 (multiplicity 8)


A relaxed structure of ThAsPt. Source: the Alexandria database, functional PBE-GGA.

Values from the calculation:
Formation energy ... 0.1073 eV/atom
DOS at the Fermi energy ... 2.43 states/eV/f.u.

Cell: 3.1607 3.1607 14.8298 Å, 90.00 90.00 90.00°
Space group I4mm (No. 107)
Asymmetric unit:
Th 0.0000 0.0000 0.0000 (multiplicity 2)
As 0.0000 0.0000 0.6480 (multiplicity 2)
Pt 0.0000 0.0000 0.8221 (multiplicity 2)


A relaxed structure of TiGaW2. Source: the Alexandria database, functional PBE-GGA.

Values from the calculation:
Formation energy ... 0.7409 eV/atom
DOS at the Fermi energy ... 3.28 states/eV/f.u.

Cell: 7.1652 7.1652 5.3429 Å, 90.00 90.00 90.00°
Space group I-42d (No. 122)
Asymmetric unit:
Ti 0.0000 0.0000 0.0000 (multiplicity 4)
Ga 0.0000 0.0000 0.5000 (multiplicity 4)
W 0.2360 0.2500 0.6250 (multiplicity 8)


A relaxed structure of NbAsOsSe2. Source: the Alexandria database, functional PBE-GGA.

Values from the calculation:
Formation energy from raw total energies ... 567 kJ/mol of formula units
DOS at the Fermi energy ... 5.72 states/eV/f.u.

Cell: 4.9303 4.9303 5.1106 Å, 90.00 90.00 90.00°
Space group P4/mmm (No. 123)
Asymmetric unit:
Nb 0.0000 0.0000 0.0000 (multiplicity 1)
As 0.0000 0.0000 0.5000 (multiplicity 1)
Os 0.5000 0.5000 0.5000 (multiplicity 1)
Se 0.0000 0.5000 0.0000 (multiplicity 2)


A relaxed structure of Nd7Dy3Mg. Source: the Alexandria database, functional PBE-GGA.

Values from the calculation:
Formation energy ... 0.1779 eV/atom
DOS at the Fermi energy ... 15.25 states/eV/f.u.

Cell: 7.1374 7.1374 8.6889 Å, 90.00 90.00 120.00°
Space group P3m1 (No. 156)
Asymmetric unit:
Nd 0.0000 0.0000 0.0000 (multiplicity 1)
Nd 0.1646 0.3292 0.6643 (multiplicity 3)
Nd 0.5004 0.0007 0.0027 (multiplicity 3)
Dy 0.3313 0.1656 0.3333 (multiplicity 3)
Mg 0.6667 0.3333 0.6656 (multiplicity 1)


A relaxed structure of Ba12In3Br5. Source: the Alexandria database, functional PBE-GGA.

Values from the calculation:
Formation energy from raw total energies ... -1620 kJ/mol of formula units
DOS at the Fermi energy ... 16.48 states/eV/f.u.

Cell: 20.1312 20.1312 20.1312 Å, 90.00 90.00 90.00°
Space group Ia-3d (No. 230)
Asymmetric unit:
Ba 0.0204 0.0699 0.6545 (multiplicity 96)
In 0.0000 0.2500 0.1250 (multiplicity 24)
Br 0.0000 0.0000 0.0000 (multiplicity 16)
Br 0.0000 0.2500 0.3750 (multiplicity 24)


A relaxed structure of TiAgBi2. Source: the Alexandria database, functional PBE-GGA.

Values from the calculation:
Formation energy ... 0.0731 eV/atom
DOS at the Fermi energy ... 3.29 states/eV/f.u.

Cell: 3.7754 3.7754 6.6018 Å, 90.00 90.00 90.00°
Space group P4/mmm (No. 123)
Asymmetric unit:
Ti 0.0000 0.0000 0.0000 (multiplicity 1)
Ag 0.0000 0.0000 0.5000 (multiplicity 1)
Bi 0.5000 0.5000 0.2381 (multiplicity 2)


A relaxed structure of LaTbGe3. Source: the Alexandria database, functional PBE-GGA.

Values from the calculation:
Formation energy ... -0.7477 eV/atom
DOS at the Fermi energy ... 3.12 states/eV/f.u.

Cell: 4.3502 27.0697 4.0516 Å, 90.00 90.00 90.00°
Space group Cmcm (No. 63)
Asymmetric unit:
La 0.0000 0.0735 0.2500 (multiplicity 4)
Tb 0.0000 0.2036 0.7500 (multiplicity 4)
Ge 0.0000 0.3128 0.7500 (multiplicity 4)
Ge 0.0000 0.3748 0.2500 (multiplicity 4)
Ge 0.0000 0.4722 0.2500 (multiplicity 4)